The following is a PBE with a Hubbard U calculation of crystalline CoN2F at its relaxed geometry, from the Alexandria database.

Cell lengths 4.7564, 4.7564, 5.2277 Å; angles 62.94, 62.94, 90.00 degrees
With the nearest neighbours (Å) after each atom.
Atoms (fractional coordinates):
N: 0.7290 0.1250 0.2500  2 Co 1.70
N: 0.0210 0.6250 0.2500  2 Co 1.70
N: 0.3750 0.2710 0.7500  2 Co 1.70
N: 0.8750 0.9790 0.7500  2 Co 1.70
Co: 0.0000 0.0000 0.0000  4 N 1.70
Co: 0.7500 0.2500 0.5000  4 N 1.70
F: 0.5000 0.5000 0.0000  4 N 2.29
F: 0.2500 0.7500 0.5000  4 N 2.29

- SG: I-42d, No. 122
- Electronic total energy: -39.2 eV per cell
- Theoretical density: 3.89 Mg/m³
- Magnetic moment: 0.0 Bohr magnetons per cell
- Fermi-level density of states: 2.31 states/eV/cell